Density functional theory data (GGA+U) for an optimized crystal structure of V2Cd3Ge3O12.

DOS at the Fermi energy: 9.7 states/eV/f.u.
electronic total energy: -6.136 eV per atom
mass density: 5.78 g/cm³

a = 10.8242 Å, b = 10.8242 Å, c = 10.8242 Å
α = 109.47°, β = 109.47°, γ = 109.47°
Last column: nearest neighbours and their distance in Å.
Sites, in units of the cell vectors:
O  0.0824  0.8804  0.3970  1 Ge 1.79
O  0.0824  0.7020  0.6854  1 Ge 1.79
O  0.6030  0.9176  0.1196  1 Ge 1.79
O  0.4176  0.8146  0.7980  1 Ge 1.79
O  0.8146  0.7980  0.4176  1 Ge 1.79
O  0.1854  0.4834  0.6030  1 Ge 1.79
O  0.3146  0.8970  0.0166  1 Ge 1.79
O  0.8970  0.0166  0.3146  1 Ge 1.79
O  0.5166  0.3970  0.8146  1 Ge 1.79
O  0.2980  0.3146  0.9176  1 Ge 1.79
O  0.8146  0.5166  0.3970  1 Ge 1.79
O  0.5824  0.8970  0.3804  1 Ge 1.79
O  0.7020  0.5166  0.6196  1 Ge 1.79
O  0.8804  0.3970  0.0824  1 Ge 1.79
O  0.7980  0.4176  0.8146  1 Ge 1.79
O  0.1196  0.6030  0.9176  1 Ge 1.79
O  0.6196  0.7020  0.5166  1 Ge 1.79
O  0.9176  0.1196  0.6030  1 Ge 1.79
O  0.0166  0.3146  0.8970  1 Ge 1.79
O  0.3970  0.8146  0.5166  1 Ge 1.79
O  0.0166  0.2020  0.1196  1 Ge 1.79
O  0.3146  0.9176  0.2980  1 Ge 1.79
O  0.8970  0.3804  0.5824  1 Ge 1.79
O  0.6854  0.1030  0.9834  1 Ge 1.79
O  0.6196  0.4176  0.1030  1 Ge 1.79
O  0.5166  0.6196  0.7020  1 Ge 1.79
O  0.3804  0.2980  0.4834  1 Ge 1.79
O  0.2980  0.4834  0.3804  1 Ge 1.79
O  0.3970  0.0824  0.8804  1 Ge 1.79
O  0.8804  0.9834  0.7980  1 Ge 1.79
O  0.2020  0.1196  0.0166  1 Ge 1.79
O  0.4834  0.3804  0.2980  1 Ge 1.79
O  0.7020  0.6854  0.0824  1 Ge 1.79
O  0.9834  0.7980  0.8804  1 Ge 1.79
O  0.3804  0.5824  0.8970  1 Ge 1.79
O  0.2020  0.5824  0.1854  1 Ge 1.79
O  0.1196  0.0166  0.2020  1 Ge 1.79
O  0.9834  0.6854  0.1030  1 Ge 1.79
O  0.6030  0.1854  0.4834  1 Ge 1.79
O  0.4834  0.6030  0.1854  1 Ge 1.79
O  0.1030  0.6196  0.4176  1 Ge 1.79
O  0.4176  0.1030  0.6196  1 Ge 1.79
O  0.1854  0.2020  0.5824  1 Ge 1.79
O  0.1030  0.9834  0.6854  1 Ge 1.79
O  0.6854  0.0824  0.7020  1 Ge 1.79
O  0.9176  0.2980  0.3146  1 Ge 1.79
O  0.7980  0.8804  0.9834  1 Ge 1.79
O  0.5824  0.1854  0.2020  1 Ge 1.79
Cd  0.6250  0.2500  0.8750  8 O 2.40-2.56
Cd  0.1250  0.2500  0.3750  8 O 2.40-2.56
Cd  0.8750  0.7500  0.6250  8 O 2.40-2.56
Cd  0.3750  0.1250  0.2500  8 O 2.40-2.56
Cd  0.6250  0.8750  0.7500  8 O 2.40-2.56
Cd  0.1250  0.3750  0.7500  8 O 2.40-2.56
Cd  0.7500  0.6250  0.8750  8 O 2.40-2.56
Cd  0.2500  0.8750  0.6250  8 O 2.40-2.56
Cd  0.2500  0.3750  0.1250  8 O 2.40-2.56
Cd  0.8750  0.6250  0.2500  8 O 2.40-2.56
Cd  0.7500  0.1250  0.3750  8 O 2.40-2.56
Cd  0.3750  0.7500  0.1250  8 O 2.40-2.56
Ge  0.7500  0.3750  0.6250  4 O 1.79
Ge  0.8750  0.1250  0.7500  4 O 1.79
Ge  0.1250  0.8750  0.2500  4 O 1.79
Ge  0.8750  0.2500  0.1250  4 O 1.79
Ge  0.2500  0.1250  0.8750  4 O 1.79
Ge  0.3750  0.2500  0.6250  4 O 1.79
Ge  0.6250  0.7500  0.3750  4 O 1.79
Ge  0.3750  0.6250  0.7500  4 O 1.79
Ge  0.1250  0.7500  0.8750  4 O 1.79
Ge  0.7500  0.8750  0.1250  4 O 1.79
Ge  0.6250  0.3750  0.2500  4 O 1.79
Ge  0.2500  0.6250  0.3750  4 O 1.79
V  0.0000  0.0000  0.5000  6 O 2.05
V  0.0000  0.0000  0.0000  6 O 2.05
V  0.5000  0.0000  0.0000  6 O 2.05
V  0.0000  0.5000  0.0000  6 O 2.05
V  0.5000  0.0000  0.5000  6 O 2.05
V  0.5000  0.5000  0.0000  6 O 2.05
V  0.5000  0.5000  0.5000  6 O 2.05
V  0.0000  0.5000  0.5000  6 O 2.05